Entry 1:
First-principles (PBE-GGA) data for an optimized crystal structure of Mn4Cl, as listed in the Alexandria database.

Summary:
Its density is 5702 kg/m3. Its magnetization is 11.40 μB per formula unit. Its formation energy (no corrections) is 1.0057 eV per atom.

a = 4.587 Å, b = 4.587 Å, c = 4.587 Å
α = 109.47°, β = 109.47°, γ = 109.47°
Element x y z (fractional)
1 Mn 0.000 0.000 0.500
2 Mn 0.000 0.500 0.000
3 Mn 0.500 0.000 0.000
4 Mn 0.500 0.500 0.500
5 Cl 0.000 0.000 0.000

=====

Entry 2:
First-principles (PBE-GGA) data for an optimized crystal structure of Mn2Cl, as listed in the Alexandria database.

Summary:
Its density is 4443 kg/m3. Its magnetization is 3.85 μB per formula unit. Its formation energy (no corrections) is -0.0437 eV per atom.

a = 10.902 Å, b = 10.902 Å, c = 3.162 Å
α = 90.00°, β = 90.00°, γ = 163.20°
Element x y z (fractional)
1 Mn 0.151 0.849 0.750
2 Mn 0.250 0.750 0.250
3 Mn 0.750 0.250 0.750
4 Mn 0.849 0.151 0.250
5 Cl 0.411 0.589 0.750
6 Cl 0.589 0.411 0.250

=====

Entry 3:
First-principles (PBE-GGA) data for an optimized crystal structure of MnCl3, as listed in the Alexandria database.

Summary:
Its density is 2601 kg/m3. Its magnetization is 4.95 μB per formula unit. Its formation energy (no corrections) is -0.2525 eV per atom.

a = 13.276 Å, b = 13.276 Å, c = 13.276 Å
α = 162.74°, β = 162.74°, γ = 24.51°
Element x y z (fractional)
1 Mn 0.186 0.186 0.000
2 Mn 0.814 0.814 0.000
3 Cl 0.000 0.500 0.500
4 Cl 0.250 0.750 0.500
5 Cl 0.355 0.355 0.000
6 Cl 0.500 0.000 0.500
7 Cl 0.645 0.645 0.000
8 Cl 0.750 0.250 0.500